VASP calculation (GGA-PBE) on crystalline LiCd2In at its relaxed geometry.

a = 4.9513 Å, b = 4.9513 Å, c = 4.9513 Å
α = 60.00°, β = 60.00°, γ = 60.00°
Sites, in units of the cell vectors:
Li1 0.0000 0.0000 0.0000
Cd1 0.2500 0.2500 0.2500
Cd2 0.5000 0.5000 0.5000
In1 0.7500 0.7500 0.7500

Computed properties:
VASP energy = -7.0 eV/f.u.
Size of the total moment = 0.00 μB per cell